An optimized crystal structure of Ca4Mg3Ag, computed with PBE.

abc: 3.797 3.797 16.428
angles: 90.00 90.00 90.00
Element x y z (fractional)
Ca (0.000, 0.000, 0.111)
Ca (0.000, 0.000, 0.371)
Ca (0.000, 0.000, 0.629)
Ca (0.000, 0.000, 0.889)
Mg (0.500, 0.500, 0.242)
Mg (0.500, 0.500, 0.500)
Mg (0.500, 0.500, 0.758)
Ag (0.500, 0.500, 0.000)

Results
E_form (eV per atom): -0.135